A relaxed structure of PrAlTc, computed with PBE.

Geometry as POSCAR:
```
PrAlTc
1.0
0.0000 3.3748 3.3748
3.3748 0.0000 3.3748
3.3748 3.3748 0.0000
Pr Al Tc
1 1 1
Cartesian
0.0000 0.0000 0.0000 Pr
5.0622 5.0622 5.0622 Al
1.6874 1.6874 1.6874 Tc
```

Energy relative to the lowest polymorph listed for this composition = 740 meV per atom

***

A relaxed structure of PrAlTc, computed with PBE.

Geometry as POSCAR:
```
PrAlTc
1.0
0.0000 3.2651 3.2651
3.2651 0.0000 3.2651
3.2651 3.2651 0.0000
Pr Al Tc
1 1 1
Cartesian
0.0000 0.0000 0.0000 Pr
1.6325 1.6325 1.6325 Al
3.2651 3.2651 3.2651 Tc
```

Energy relative to the lowest polymorph listed for this composition = 0 meV per atom

***

A relaxed structure of PrTmAlTe3, computed with PBE.

Geometry as POSCAR:
```
PrTmAlTe3
1.0
2.0919 -7.7120 0.0000
2.0919 7.7120 0.0000
0.0000 0.0000 10.5048
Pr Tm Al Te
2 2 2 6
Cartesian
2.0919 4.3264 7.8786 Pr
2.0919 -4.3264 2.6262 Pr
0.0000 0.0000 0.0000 Tm
0.0000 0.0000 5.2524 Tm
2.0919 0.3742 2.6262 Al
2.0919 -0.3742 7.8786 Al
2.0919 5.9207 2.6262 Te
2.0919 2.2806 0.4213 Te
2.0919 2.2806 4.8311 Te
2.0919 -2.2806 5.6736 Te
2.0919 -2.2806 10.0835 Te
2.0919 -5.9207 7.8786 Te
```

VASP energy = -4.653 eV per atom

***

A relaxed structure of PrThAl, computed with PBE.

Geometry as POSCAR:
```
PrThAl
1.0
0.0000 3.5864 3.5864
3.5864 0.0000 3.5864
3.5864 3.5864 0.0000
Pr Th Al
1 1 1
Cartesian
0.0000 0.0000 0.0000 Pr
1.7932 1.7932 1.7932 Th
5.3796 5.3796 5.3796 Al
```

VASP energy = -4.653 eV per atom

***

A relaxed structure of PrAlTl, computed with PBE.

Geometry as POSCAR:
```
PrAlTl
1.0
0.0000 3.6261 3.6261
3.6261 0.0000 3.6261
3.6261 3.6261 0.0000
Pr Al Tl
1 1 1
Cartesian
0.0000 0.0000 0.0000 Pr
5.4391 5.4391 5.4391 Al
1.8130 1.8130 1.8130 Tl
```

VASP energy = -3.476 eV per atom

***

A relaxed structure of PrAlTl, computed with PBE.

Geometry as POSCAR:
```
PrAlTl
1.0
0.0000 3.4810 3.4810
3.4810 0.0000 3.4810
3.4810 3.4810 0.0000
Pr Al Tl
1 1 1
Cartesian
0.0000 0.0000 0.0000 Pr
1.7405 1.7405 1.7405 Al
3.4810 3.4810 3.4810 Tl
```

VASP energy = -3.748 eV per atom

***

A relaxed structure of PrUAl, computed with PBE.

Geometry as POSCAR:
```
PrUAl
1.0
0.0000 3.5718 3.5718
3.5718 0.0000 3.5718
3.5718 3.5718 0.0000
Pr U Al
1 1 1
Cartesian
0.0000 0.0000 0.0000 Pr
3.5718 3.5718 3.5718 U
1.7859 1.7859 1.7859 Al
```

Energy relative to the lowest polymorph listed for this composition = 0 meV per atom

***

A relaxed structure of PrAlW, computed with PBE.

Geometry as POSCAR:
```
PrAlW
1.0
0.0000 3.4098 3.4098
3.4098 0.0000 3.4098
3.4098 3.4098 0.0000
Pr Al W
1 1 1
Cartesian
0.0000 0.0000 0.0000 Pr
5.1147 5.1147 5.1147 Al
1.7049 1.7049 1.7049 W
```

Energy relative to the lowest polymorph listed for this composition = 770 meV per atom

***

A relaxed structure of PrAlW, computed with PBE.

Geometry as POSCAR:
```
PrAlW
1.0
0.0000 3.3026 3.3026
3.3026 0.0000 3.3026
3.3026 3.3026 0.0000
Pr Al W
1 1 1
Cartesian
0.0000 0.0000 0.0000 Pr
1.6513 1.6513 1.6513 Al
3.3026 3.3026 3.3026 W
```

Energy relative to the lowest polymorph listed for this composition = 0 meV per atom

***

A relaxed structure of PrYAl, computed with PBE.

Geometry as POSCAR:
```
PrYAl
1.0
0.0000 3.6150 3.6150
3.6150 0.0000 3.6150
3.6150 3.6150 0.0000
Pr Y Al
1 1 1
Cartesian
0.0000 0.0000 0.0000 Pr
5.4225 5.4225 5.4225 Y
3.6150 3.6150 3.6150 Al
```

Energy relative to the lowest polymorph listed for this composition = 0 meV per atom

***

A relaxed structure of PrYAl6, computed with PBE.

Geometry as POSCAR:
```
PrYAl6
1.0
6.4410 0.0000 0.0000
-3.2205 5.5780 0.0000
0.0000 0.0000 4.5930
Pr Y Al
1 1 6
Cartesian
0.0000 0.0000 0.0000 Pr
3.2205 1.8593 2.2965 Y
-1.4024 2.9090 0.0000 Al
0.0000 2.1363 2.2965 Al
-1.3704 4.5099 2.2965 Al
1.4024 2.9090 0.0000 Al
0.0000 5.3381 0.0000 Al
1.3704 4.5099 2.2965 Al
```

VASP energy = -4.649 eV per atom

***

A relaxed structure of PrZrAl, computed with PBE.

Geometry as POSCAR:
```
PrZrAl
1.0
0.0000 3.5427 3.5427
3.5427 0.0000 3.5427
3.5427 3.5427 0.0000
Pr Zr Al
1 1 1
Cartesian
0.0000 0.0000 0.0000 Pr
1.7713 1.7713 1.7713 Zr
5.3140 5.3140 5.3140 Al
```

Energy relative to the lowest polymorph listed for this composition = 284 meV per atom

***

A relaxed structure of PrZrAl, computed with PBE.

Geometry as POSCAR:
```
PrZrAl
1.0
0.0000 3.5070 3.5070
3.5070 0.0000 3.5070
3.5070 3.5070 0.0000
Pr Zr Al
1 1 1
Cartesian
0.0000 0.0000 0.0000 Pr
5.2606 5.2606 5.2606 Zr
3.5070 3.5070 3.5070 Al
```

Energy relative to the lowest polymorph listed for this composition = 0 meV per atom

***

A relaxed structure of AlPt3, computed with PBE.

Geometry as POSCAR:
```
AlPt3
1.0
5.5783 0.0000 0.0000
-2.7891 4.8309 0.0000
0.0000 0.0000 4.5055
Al Pt
2 6
Cartesian
0.0000 3.2206 1.1264 Al
2.7891 1.6103 3.3792 Al
0.0000 1.6195 3.3792 Pt
-1.3866 4.0212 3.3792 Pt
1.4025 0.8097 1.1264 Pt
1.3866 4.0212 3.3792 Pt
4.1758 0.8097 1.1264 Pt
2.7891 3.2114 1.1264 Pt
```

VASP energy = -6.100 eV per atom

***

A relaxed structure of AlPt, computed with PBE.

Geometry as POSCAR:
```
AlPt
1.0
3.0912 0.0000 0.0000
0.0000 3.0912 0.0000
0.0000 0.0000 3.0912
Al Pt
1 1
Cartesian
0.0000 0.0000 0.0000 Al
1.5456 1.5456 1.5456 Pt
```

VASP energy = -5.838 eV per atom

***

A relaxed structure of Al2Pt, computed with PBE.

Geometry as POSCAR:
```
Al2Pt
1.0
0.0000 3.5674 3.5674
3.5674 0.0000 3.5674
3.5674 3.5674 0.0000
Al Pt
4 2
Cartesian
0.0000 0.0000 0.0000 Al
1.7837 1.7837 0.0000 Al
1.7837 0.0000 1.7837 Al
0.0000 1.7837 1.7837 Al
2.6756 2.6756 2.6756 Pt
4.4593 4.4593 4.4593 Pt
```

VASP energy = -4.695 eV per atom

***

A relaxed structure of Al2Pt, computed with PBE.

Geometry as POSCAR:
```
Al2Pt
1.0
0.0000 2.9704 2.9704
2.9704 0.0000 2.9704
2.9704 2.9704 0.0000
Al Pt
2 1
Cartesian
1.4852 1.4852 1.4852 Al
4.4556 4.4556 4.4556 Al
0.0000 0.0000 0.0000 Pt
```

VASP energy = -5.413 eV per atom

***

A relaxed structure of Al2Pt, computed with PBE.

Geometry as POSCAR:
```
Al2Pt
1.0
0.0000 5.4093 5.4093
5.4093 0.0000 5.4093
5.4093 5.4093 0.0000
Al Pt
4 2
Cartesian
0.0000 0.0000 0.0000 Al
2.7047 2.7047 0.0000 Al
2.7047 0.0000 2.7047 Al
0.0000 2.7047 2.7047 Al
1.3523 1.3523 1.3523 Pt
9.4663 9.4663 9.4663 Pt
```

VASP energy = -4.356 eV per atom

***

A relaxed structure of AlPt, computed with PBE.

Geometry as POSCAR:
```
AlPt
1.0
7.8765 4.5475 1.7953
-7.8765 4.5475 1.7953
0.0000 -9.0950 1.7953
Al Pt
13 13
Cartesian
0.0000 0.0000 0.0000 Al
-1.2175 -4.3573 1.7803 Al
-1.9587 -1.5159 1.7785 Al
-3.1648 3.2331 1.7803 Al
-4.3823 -1.1242 3.6057 Al
-0.3335 2.4543 1.7785 Al
2.2922 -0.9383 1.7785 Al
-2.2922 0.9383 3.6075 Al
0.3335 -2.4542 3.6075 Al
4.3823 1.1242 1.7803 Al
3.1648 -3.2331 3.6057 Al
1.9587 1.5160 3.6075 Al
1.2175 4.3573 3.6057 Al
-2.2595 0.9536 0.9156 Pt
0.3039 -2.4335 0.9156 Pt
-3.4791 -3.4083 2.6626 Pt
-4.6912 1.3088 2.7234 Pt
1.9555 1.4800 0.9156 Pt
1.2122 -4.7171 2.7234 Pt
0.0000 0.0000 2.6930 Pt
-1.2122 4.7171 2.6626 Pt
-1.9555 -1.4800 4.4704 Pt
4.6912 -1.3088 2.6626 Pt
3.4790 3.4083 2.7234 Pt
-0.3039 2.4335 4.4704 Pt
2.2595 -0.9536 4.4704 Pt
```

VASP energy = -5.930 eV per atom

***

A relaxed structure of AlPt3, computed with PBE.

Geometry as POSCAR:
```
AlPt3
1.0
3.9177 0.0000 0.0000
0.0000 3.9177 0.0000
0.0000 0.0000 3.9177
Al Pt
1 3
Cartesian
0.0000 0.0000 0.0000 Al
0.0000 1.9588 1.9588 Pt
1.9588 0.0000 1.9588 Pt
1.9588 1.9588 0.0000 Pt
```

VASP energy = -6.166 eV per atom

***

A relaxed structure of Rb6Al2Pt, computed with PBE.

Geometry as POSCAR:
```
Rb6Al2Pt
1.0
9.8767 0.0000 0.0000
-4.9384 8.5535 0.0000
0.0000 0.0000 4.9688
Rb Al Pt
6 2 1
Cartesian
-1.1732 2.0320 0.0000 Rb
-3.0339 5.2549 2.4844 Rb
2.3464 0.0000 0.0000 Rb
1.9044 3.2986 2.4844 Rb
6.0679 0.0000 2.4844 Rb
3.7652 6.5214 0.0000 Rb
0.0000 5.7023 0.0000 Al
4.9384 2.8512 0.0000 Al
0.0000 0.0000 2.4844 Pt
```

VASP energy = -1.850 eV per atom

***

A relaxed structure of AlRePt2, computed with PBE.

Geometry as POSCAR:
```
AlRePt2
1.0
0.0000 3.1151 3.1151
3.1151 0.0000 3.1151
3.1151 3.1151 0.0000
Al Re Pt
1 1 2
Cartesian
0.0000 0.0000 0.0000 Al
1.5576 1.5576 1.5576 Re
3.1151 3.1151 3.1151 Pt
4.6727 4.6727 4.6727 Pt
```

VASP energy = -7.168 eV per atom

***

A relaxed structure of AlRePt, computed with PBE.

Geometry as POSCAR:
```
AlRePt
1.0
0.0000 2.9753 2.9753
2.9753 0.0000 2.9753
2.9753 2.9753 0.0000
Al Re Pt
1 1 1
Cartesian
0.0000 0.0000 0.0000 Al
2.9753 2.9753 2.9753 Re
1.4876 1.4876 1.4876 Pt
```

Energy relative to the lowest polymorph listed for this composition = 0 meV per atom

***

A relaxed structure of AlRe2Pt, computed with PBE.

Geometry as POSCAR:
```
AlRe2Pt
1.0
0.0000 3.1052 3.1052
3.1052 0.0000 3.1052
3.1052 3.1052 0.0000
Al Re Pt
1 2 1
Cartesian
0.0000 0.0000 0.0000 Al
3.1052 3.1052 3.1052 Re
4.6579 4.6579 4.6579 Re
1.5526 1.5526 1.5526 Pt
```

VASP energy = -8.656 eV per atom

***

A relaxed structure of ScAl2Pt2, computed with PBE.

Geometry as POSCAR:
```
ScAl2Pt2
1.0
-1.9571 1.9571 5.7201
1.9571 -1.9571 5.7201
1.9571 1.9571 -5.7201
Sc Al Pt
1 2 2
Cartesian
0.0000 0.0000 0.0000 Sc
1.9571 0.0000 2.8600 Al
0.0000 1.9571 2.8600 Al
0.0000 0.0000 4.4122 Pt
0.0000 0.0000 7.0280 Pt
```

Energy relative to the lowest polymorph listed for this composition = 0 meV per atom

***

A relaxed structure of ScAlPt2, computed with PBE.

Geometry as POSCAR:
```
ScAlPt2
1.0
0.0000 3.2124 3.2124
3.2124 0.0000 3.2124
3.2124 3.2124 0.0000
Sc Al Pt
1 1 2
Cartesian
0.0000 0.0000 0.0000 Sc
4.8186 4.8186 4.8186 Al
1.6062 1.6062 1.6062 Pt
3.2124 3.2124 3.2124 Pt
```

VASP energy = -6.315 eV per atom

***

A relaxed structure of ScAl2Pt, computed with PBE.

Geometry as POSCAR:
```
ScAl2Pt
1.0
0.0000 3.2180 3.2180
3.2180 0.0000 3.2180
3.2180 3.2180 0.0000
Sc Al Pt
1 2 1
Cartesian
0.0000 0.0000 0.0000 Sc
3.2180 3.2180 3.2180 Al
4.8270 4.8270 4.8270 Al
1.6090 1.6090 1.6090 Pt
```

VASP energy = -5.698 eV per atom